# 1
The following is a DFT calculation (GGA-PBEsol) of a geometry-optimized Hf2Co21B6 structure.

The structure in extended XYZ format:
```
29
Lattice="0.000 5.201 5.201 5.201 0.000 5.201 5.201 5.201 0.000" Properties=species:S:1:pos:R:3 pbc="T T T"
Hf 2.600 2.600 2.600
Hf 7.801 7.801 7.801
Co 0.000 0.000 0.000
Co 1.754 1.754 0.000
Co 3.447 3.447 0.000
Co 1.754 0.000 1.754
Co 5.201 3.447 1.754
Co 3.447 0.000 3.447
Co 5.201 1.754 3.447
Co 6.394 4.008 4.008
Co 0.000 1.754 1.754
Co 3.447 5.201 1.754
Co 3.447 1.754 5.201
Co 4.008 4.008 4.008
Co 6.394 6.394 4.008
Co 6.394 4.008 6.394
Co 4.008 6.394 4.008
Co 4.008 4.008 6.394
Co 6.394 6.394 6.394
Co 0.000 3.447 3.447
Co 1.754 5.201 3.447
Co 1.754 3.447 5.201
Co 4.008 6.394 6.394
B 5.201 5.201 2.843
B 5.201 2.843 5.201
B 7.559 5.201 5.201
B 2.843 5.201 5.201
B 5.201 7.559 5.201
B 5.201 5.201 7.559
```

- raw total energy (eV per atom) = -8.12


# 2
The following is a DFT calculation (GGA-PBEsol) of a geometry-optimized YTlPb structure.

The structure in extended XYZ format:
```
3
Lattice="0.000 3.596 3.596 3.596 0.000 3.596 3.596 3.596 0.000" Properties=species:S:1:pos:R:3 pbc="T T T"
Y 0.000 0.000 0.000
Tl 1.798 1.798 1.798
Pb 3.596 3.596 3.596
```

- raw total energy (eV per atom) = -4.53
- relative energy among the computed polymorphs (kJ/mol of formula units) = 59


E_form values (in meV/atom) by entry order: -342 -48.